(1)
# Pu2Ge3Rh, relaxed, DFT PBE
# - D(E_F): 3.354 states/eV/atom
# - Polymorph energy (0 for the lowest one): 11 meV/atom
# - Energy relative to the elements: -0.49 eV/atom
data_Pu2Ge3Rh
_chemical_formula_sum 'Pu2 Ge3 Rh1'
_symmetry_space_group_name_H-M 'P m m 2'
_symmetry_Int_Tables_number 25
_symmetry_space_group_name_Hall 'P 2 -2'
_cell_length_a 3.8373
_cell_length_b 4.3620
_cell_length_c 7.3799
_cell_angle_alpha 90.00
_cell_angle_beta 90.00
_cell_angle_gamma 90.00
loop_
_atom_site_label
_atom_site_type_symbol
_atom_site_fract_x
_atom_site_fract_y
_atom_site_fract_z
_atom_site_occupancy
Pu1 Pu 0.0000 0.0000 0.0000 1
Pu2 Pu 0.0000 0.5000 0.4839 1
Ge1 Ge 0.5000 0.0000 0.6519 1
Ge2 Ge 0.5000 0.5000 0.1586 1
Ge3 Ge 0.5000 0.5000 0.8230 1
Rh1 Rh 0.5000 0.0000 0.3170 1

(2)
# Zn2CuCl, relaxed, DFT PBE
# - D(E_F): 0.236 states/eV/atom
# - Polymorph energy (0 for the lowest one): 190 meV/atom
data_Zn2CuCl
_chemical_formula_sum 'Zn2 Cu1 Cl1'
_symmetry_space_group_name_H-M 'P 1 2/m 1'
_symmetry_Int_Tables_number 10
_symmetry_space_group_name_Hall '-P 2y'
_cell_length_a 3.0401
_cell_length_b 5.6444
_cell_length_c 4.4009
_cell_angle_alpha 90.00
_cell_angle_beta 93.07
_cell_angle_gamma 90.00
loop_
_atom_site_label
_atom_site_type_symbol
_atom_site_fract_x
_atom_site_fract_y
_atom_site_fract_z
_atom_site_occupancy
Zn1 Zn 0.2475 0.0000 0.2492 1
Cu1 Cu 0.5000 0.5000 0.5000 1
Cl1 Cl 0.5000 0.5000 0.0000 1

(3)
# Nb4Tc, relaxed, DFT PBE
# - D(E_F): 0.957 states/eV/atom
# - Polymorph energy (0 for the lowest one): 0 meV/atom
# - Energy relative to the elements: 0.15 eV/atom
data_Nb4Tc
_chemical_formula_sum 'Nb8 Tc2'
_symmetry_space_group_name_H-M 'P 1 2/c 1'
_symmetry_Int_Tables_number 13
_symmetry_space_group_name_Hall '-P 2yc'
_cell_length_a 5.2762
_cell_length_b 7.9456
_cell_length_c 4.6837
_cell_angle_alpha 90.00
_cell_angle_beta 110.59
_cell_angle_gamma 90.00
loop_
_atom_site_label
_atom_site_type_symbol
_atom_site_fract_x
_atom_site_fract_y
_atom_site_fract_z
_atom_site_occupancy
Nb1 Nb 0.1812 0.1525 0.0841 1
Nb2 Nb 0.2254 0.4019 0.5757 1
Tc1 Tc 0.5000 0.1175 0.7500 1

(4)
# Ce5PuAl, relaxed, DFT PBE
# - D(E_F): 2.916 states/eV/atom
# - Polymorph energy (0 for the lowest one): 281 meV/atom
# - Energy relative to the elements: 0.25 eV/atom
data_Ce5PuAl
_chemical_formula_sum 'Ce20 Pu4 Al4'
_symmetry_space_group_name_H-M 'C 1 2/c 1'
_symmetry_Int_Tables_number 15
_symmetry_space_group_name_Hall '-C 2yc'
_cell_length_a 11.4046
_cell_length_b 9.7576
_cell_length_c 6.7403
_cell_angle_alpha 90.00
_cell_angle_beta 114.20
_cell_angle_gamma 90.00
loop_
_atom_site_label
_atom_site_type_symbol
_atom_site_fract_x
_atom_site_fract_y
_atom_site_fract_z
_atom_site_occupancy
Ce1 Ce 0.0000 0.1486 0.2500 1
Ce2 Ce 0.1009 0.2578 0.9629 1
Ce3 Ce 0.2312 0.0488 0.7236 1
Pu1 Pu 0.2500 0.2500 0.5000 1
Al1 Al 0.0000 0.4574 0.2500 1

(5)
# CaTb, relaxed, DFT PBE
# - D(E_F): 1.611 states/eV/atom
# - Polymorph energy (0 for the lowest one): 132 meV/atom
# - Energy relative to the elements: 0.18 eV/atom
data_CaTb
_chemical_formula_sum 'Ca1 Tb1'
_symmetry_space_group_name_H-M 'P m -3 m'
_symmetry_Int_Tables_number 221
_symmetry_space_group_name_Hall '-P 4 2 3'
_cell_length_a 4.1411
_cell_length_b 4.1411
_cell_length_c 4.1411
_cell_angle_alpha 90.00
_cell_angle_beta 90.00
_cell_angle_gamma 90.00
loop_
_atom_site_label
_atom_site_type_symbol
_atom_site_fract_x
_atom_site_fract_y
_atom_site_fract_z
_atom_site_occupancy
Ca1 Ca 0.0000 0.0000 0.0000 1
Tb1 Tb 0.5000 0.5000 0.5000 1

(6)
# DyThS2N, relaxed, DFT PBE
# - VASP energy: -76.80 eV/cell
# - D(E_F): 0.478 states/eV/atom
data_DyThS2N
_chemical_formula_sum 'Dy2 Th2 S4 N2'
_symmetry_space_group_name_H-M 'P 4/n m m'
_symmetry_Int_Tables_number 129
_cell_length_a 3.9600
_cell_length_b 3.9600
_cell_length_c 13.9724
_cell_angle_alpha 90.00
_cell_angle_beta 90.00
_cell_angle_gamma 90.00
loop_
_symmetry_equiv_pos_as_xyz
'x,y,z'
'-x,-y,-z'
'-y+1/2,x,z'
'y+1/2,-x,-z'
'-x+1/2,-y+1/2,z'
'x+1/2,y+1/2,-z'
'y,-x+1/2,z'
'-y,x+1/2,-z'
'x+1/2,-y,-z'
'-x+1/2,y,z'
'-y,-x,-z'
'y,x,z'
'-x,y+1/2,-z'
'x,-y+1/2,z'
'y+1/2,x+1/2,-z'
'-y+1/2,-x+1/2,z'
loop_
_atom_site_label
_atom_site_type_symbol
_atom_site_fract_x
_atom_site_fract_y
_atom_site_fract_z
_atom_site_occupancy
Dy1 Dy 0.2500 0.2500 0.1172 1
Th1 Th 0.2500 0.2500 0.5883 1
S1 S 0.2500 0.2500 0.2986 1
S2 S 0.2500 0.2500 0.9085 1
N1 N 0.2500 0.7500 0.5000 1

(7)
# CaMn2Os, relaxed, DFT PBE
# - D(E_F): 1.100 states/eV/atom
# - Polymorph energy (0 for the lowest one): 391 meV/atom
# - Energy relative to the elements: 0.71 eV/atom
data_CaMn2Os
_chemical_formula_sum 'Ca2 Mn4 Os2'
_symmetry_space_group_name_H-M 'I -4 m 2'
_symmetry_Int_Tables_number 119
_symmetry_space_group_name_Hall 'I -4 -2'
_cell_length_a 4.0396
_cell_length_b 4.0396
_cell_length_c 8.5560
_cell_angle_alpha 90.00
_cell_angle_beta 90.00
_cell_angle_gamma 90.00
loop_
_atom_site_label
_atom_site_type_symbol
_atom_site_fract_x
_atom_site_fract_y
_atom_site_fract_z
_atom_site_occupancy
Ca1 Ca 0.0000 0.0000 0.0000 1
Mn1 Mn 0.0000 0.0000 0.5000 1
Mn2 Mn 0.0000 0.5000 0.7500 1
Os1 Os 0.0000 0.5000 0.2500 1

(8)
# Ce2Dy3Y6Er, relaxed, DFT PBE
# - D(E_F): 1.856 states/eV/atom
# - Energy relative to the elements: 0.05 eV/atom
data_Ce2Dy3Y6Er
_chemical_formula_sum 'Ce4 Dy6 Y12 Er2'
_symmetry_space_group_name_H-M 'C 1 2/m 1'
_symmetry_Int_Tables_number 12
_symmetry_space_group_name_Hall '-C 2y'
_cell_length_a 6.1536
_cell_length_b 10.6553
_cell_length_c 11.7658
_cell_angle_alpha 90.00
_cell_angle_beta 100.03
_cell_angle_gamma 90.00
loop_
_atom_site_label
_atom_site_type_symbol
_atom_site_fract_x
_atom_site_fract_y
_atom_site_fract_z
_atom_site_occupancy
Ce1 Ce 0.0000 0.1665 0.0000 1
Dy1 Dy 0.0000 0.0000 0.5000 1
Dy2 Dy 0.0000 0.3340 0.5000 1
Y1 Y 0.2483 0.0000 0.2489 1
Y2 Y 0.2492 0.1675 0.7513 1
Er1 Er 0.0000 0.5000 0.0000 1

(9)
# Nd2AgS, relaxed, DFT PBE
# - D(E_F): 0.818 states/eV/atom
# - Polymorph energy (0 for the lowest one): 75 meV/atom
data_Nd2AgS
_chemical_formula_sum 'Nd6 Ag3 S3'
_symmetry_space_group_name_H-M 'R -3 m'
_symmetry_Int_Tables_number 166
_symmetry_space_group_name_Hall '-R 3 2"'
_cell_length_a 4.1290
_cell_length_b 4.1290
_cell_length_c 21.6766
_cell_angle_alpha 90.00
_cell_angle_beta 90.00
_cell_angle_gamma 120.00
loop_
_atom_site_label
_atom_site_type_symbol
_atom_site_fract_x
_atom_site_fract_y
_atom_site_fract_z
_atom_site_occupancy
Nd1 Nd 0.0000 0.0000 0.2402 1
Ag1 Ag 0.0000 0.0000 0.0000 1
S1 S 0.0000 0.0000 0.5000 1

(10)
# Be2GaAu6, relaxed, DFT PBE
# - D(E_F): 0.206 states/eV/atom
# - Polymorph energy (0 for the lowest one): 0 meV/atom
# - Energy relative to the elements: -0.10 eV/atom
data_Be2GaAu6
_chemical_formula_sum 'Be4 Ga2 Au12'
_symmetry_space_group_name_H-M 'C 1 2/m 1'
_symmetry_Int_Tables_number 12
_symmetry_space_group_name_Hall '-C 2y'
_cell_length_a 5.3851
_cell_length_b 8.1108
_cell_length_c 6.6981
_cell_angle_alpha 90.00
_cell_angle_beta 100.21
_cell_angle_gamma 90.00
loop_
_atom_site_label
_atom_site_type_symbol
_atom_site_fract_x
_atom_site_fract_y
_atom_site_fract_z
_atom_site_occupancy
Be1 Be 0.0000 0.2496 0.0000 1
Ga1 Ga 0.0000 0.0000 0.5000 1
Au1 Au 0.1825 0.3217 0.6939 1
Au2 Au 0.2324 0.0000 0.8937 1

(11)
# SmTaSe2, relaxed, DFT PBE
# - VASP energy: -77.65 eV/cell
# - D(E_F): 0.849 states/eV/atom
data_SmTaSe2
_chemical_formula_sum 'Sm3 Ta3 Se6'
_symmetry_space_group_name_H-M 'R -3 m'
_symmetry_Int_Tables_number 166
_symmetry_space_group_name_Hall '-R 3 2"'
_cell_length_a 3.4954
_cell_length_b 3.4954
_cell_length_c 27.9325
_cell_angle_alpha 90.00
_cell_angle_beta 90.00
_cell_angle_gamma 120.00
loop_
_atom_site_label
_atom_site_type_symbol
_atom_site_fract_x
_atom_site_fract_y
_atom_site_fract_z
_atom_site_occupancy
Sm1 Sm 0.0000 0.0000 0.0000 1
Ta1 Ta 0.0000 0.0000 0.5000 1
Se1 Se 0.0000 0.0000 0.1060 1

(12)
# Zn2TcPd2, relaxed, DFT PBE
# - D(E_F): 0.702 states/eV/atom
# - Energy relative to the elements: -0.07 eV/atom
data_Zn2TcPd2
_chemical_formula_sum 'Zn4 Tc2 Pd4'
_symmetry_space_group_name_H-M 'P 4/m b m'
_symmetry_Int_Tables_number 127
_symmetry_space_group_name_Hall '-P 4 2ab'
_cell_length_a 7.2560
_cell_length_b 7.2560
_cell_length_c 2.7923
_cell_angle_alpha 90.00
_cell_angle_beta 90.00
_cell_angle_gamma 90.00
loop_
_atom_site_label
_atom_site_type_symbol
_atom_site_fract_x
_atom_site_fract_y
_atom_site_fract_z
_atom_site_occupancy
Zn1 Zn 0.1290 0.3710 0.0000 1
Tc1 Tc 0.0000 0.0000 0.0000 1
Pd1 Pd 0.1700 0.6700 0.5000 1

(13)
# Y2LuTh, relaxed, DFT PBE
# - D(E_F): 1.367 states/eV/atom
# - Polymorph energy (0 for the lowest one): 5 meV/atom
# - Energy relative to the elements: 0.04 eV/atom
data_Y2LuTh
_chemical_formula_sum 'Y2 Lu1 Th1'
_symmetry_space_group_name_H-M 'P 4/m m m'
_symmetry_Int_Tables_number 123
_symmetry_space_group_name_Hall '-P 4 2'
_cell_length_a 3.5457
_cell_length_b 3.5457
_cell_length_c 10.1117
_cell_angle_alpha 90.00
_cell_angle_beta 90.00
_cell_angle_gamma 90.00
loop_
_atom_site_label
_atom_site_type_symbol
_atom_site_fract_x
_atom_site_fract_y
_atom_site_fract_z
_atom_site_occupancy
Y1 Y 0.0000 0.0000 0.2477 1
Lu1 Lu 0.5000 0.5000 0.5000 1
Th1 Th 0.5000 0.5000 0.0000 1

(14)
# CaBe2As, relaxed, DFT PBE
# - D(E_F): 0.269 states/eV/atom
# - Energy relative to the elements: 0.43 eV/atom
data_CaBe2As
_chemical_formula_sum 'Ca2 Be4 As2'
_symmetry_space_group_name_H-M 'C 1 2/m 1'
_symmetry_Int_Tables_number 12
_symmetry_space_group_name_Hall '-C 2y'
_cell_length_a 5.5821
_cell_length_b 9.9866
_cell_length_c 2.9307
_cell_angle_alpha 90.00
_cell_angle_beta 121.10
_cell_angle_gamma 90.00
loop_
_atom_site_label
_atom_site_type_symbol
_atom_site_fract_x
_atom_site_fract_y
_atom_site_fract_z
_atom_site_occupancy
Ca1 Ca 0.0000 0.0000 0.0000 1
Be1 Be 0.2500 0.2500 0.5000 1
As1 As 0.0000 0.5000 0.0000 1

(15)
# ScAg2Se2O6, relaxed, DFT PBE
# - VASP energy: -121.75 eV/cell
# - D(E_F): 0.358 states/eV/atom
data_ScAg2Se2O6
_chemical_formula_sum 'Sc2 Ag4 Se4 O12'
_symmetry_space_group_name_H-M 'C 1 2/m 1'
_symmetry_Int_Tables_number 12
_symmetry_space_group_name_Hall '-C 2y'
_cell_length_a 9.3616
_cell_length_b 5.6352
_cell_length_c 7.4162
_cell_angle_alpha 90.00
_cell_angle_beta 120.29
_cell_angle_gamma 90.00
loop_
_atom_site_label
_atom_site_type_symbol
_atom_site_fract_x
_atom_site_fract_y
_atom_site_fract_z
_atom_site_occupancy
Sc1 Sc 0.0000 0.0000 0.0000 1
Ag1 Ag 0.0712 0.5000 0.7125 1
Se1 Se 0.2255 0.0000 0.7120 1
O1 O 0.1345 0.2669 0.2254 1
O2 O 0.1883 0.0000 0.9191 1

(16)
# PmBe, relaxed, DFT PBE
# - D(E_F): 1.178 states/eV/atom
# - Polymorph energy (0 for the lowest one): 148 meV/atom
# - Energy relative to the elements: 0.19 eV/atom
data_PmBe
_chemical_formula_sum 'Pm1 Be1'
_symmetry_space_group_name_H-M 'P m -3 m'
_symmetry_Int_Tables_number 221
_symmetry_space_group_name_Hall '-P 4 2 3'
_cell_length_a 3.5029
_cell_length_b 3.5029
_cell_length_c 3.5029
_cell_angle_alpha 90.00
_cell_angle_beta 90.00
_cell_angle_gamma 90.00
loop_
_atom_site_label
_atom_site_type_symbol
_atom_site_fract_x
_atom_site_fract_y
_atom_site_fract_z
_atom_site_occupancy
Pm1 Pm 0.0000 0.0000 0.0000 1
Be1 Be 0.5000 0.5000 0.5000 1

(17)
# CaAcGaAg, relaxed, DFT PBE
# - D(E_F): 0.822 states/eV/atom
# - Energy relative to the elements: -0.39 eV/atom
data_CaAcGaAg
_chemical_formula_sum 'Ca4 Ac4 Ga4 Ag4'
_symmetry_space_group_name_H-M 'F -4 3 m'
_symmetry_Int_Tables_number 216
_symmetry_space_group_name_Hall 'F -4 2 3'
_cell_length_a 7.6745
_cell_length_b 7.6745
_cell_length_c 7.6745
_cell_angle_alpha 90.00
_cell_angle_beta 90.00
_cell_angle_gamma 90.00
loop_
_atom_site_label
_atom_site_type_symbol
_atom_site_fract_x
_atom_site_fract_y
_atom_site_fract_z
_atom_site_occupancy
Ca1 Ca 0.0000 0.0000 0.0000 1
Ac1 Ac 0.0000 0.0000 0.5000 1
Ga1 Ga 0.2500 0.2500 0.2500 1
Ag1 Ag 0.2500 0.2500 0.7500 1

(18)
# MnCdS2N, relaxed, DFT PBE
# - D(E_F): 0.289 states/eV/atom
# - Polymorph energy (0 for the lowest one): 1069 meV/atom
data_MnCdS2N
_chemical_formula_sum 'Mn1 Cd1 S2 N1'
_symmetry_space_group_name_H-M 'P 4/m m m'
_symmetry_Int_Tables_number 123
_symmetry_space_group_name_Hall '-P 4 2'
_cell_length_a 5.0771
_cell_length_b 5.0771
_cell_length_c 4.1114
_cell_angle_alpha 90.00
_cell_angle_beta 90.00
_cell_angle_gamma 90.00
loop_
_atom_site_label
_atom_site_type_symbol
_atom_site_fract_x
_atom_site_fract_y
_atom_site_fract_z
_atom_site_occupancy
Mn1 Mn 0.0000 0.0000 0.0000 1
Cd1 Cd 0.5000 0.5000 0.5000 1
S1 S 0.0000 0.5000 0.5000 1
N1 N 0.5000 0.5000 0.0000 1

(19)
# Li2ErSnS4, relaxed, DFT PBE
# - VASP energy: -39.13 eV/cell
# - D(E_F): 0.204 states/eV/atom
data_Li2ErSnS4
_chemical_formula_sum 'Li2 Er1 Sn1 S4'
_symmetry_space_group_name_H-M 'P 1 2/m 1'
_symmetry_Int_Tables_number 10
_symmetry_space_group_name_Hall '-P 2y'
_cell_length_a 6.5770
_cell_length_b 3.8363
_cell_length_c 6.7614
_cell_angle_alpha 90.00
_cell_angle_beta 110.25
_cell_angle_gamma 90.00
loop_
_atom_site_label
_atom_site_type_symbol
_atom_site_fract_x
_atom_site_fract_y
_atom_site_fract_z
_atom_site_occupancy
Li1 Li 0.0000 0.0000 0.0000 1
Li2 Li 0.0000 0.5000 0.5000 1
Er1 Er 0.5000 0.0000 0.5000 1
Sn1 Sn 0.5000 0.5000 0.0000 1
S1 S 0.2457 0.0000 0.7442 1
S2 S 0.2505 0.5000 0.2478 1

(20)
# ZrTi2HgB, relaxed, DFT PBE
# - D(E_F): 0.518 states/eV/atom
# - Energy relative to the elements: -0.28 eV/atom
data_ZrTi2HgB
_chemical_formula_sum 'Zr1 Ti2 Hg1 B1'
_symmetry_space_group_name_H-M 'P 4/m m m'
_symmetry_Int_Tables_number 123
_symmetry_space_group_name_Hall '-P 4 2'
_cell_length_a 4.3626
_cell_length_b 4.3626
_cell_length_c 4.5935
_cell_angle_alpha 90.00
_cell_angle_beta 90.00
_cell_angle_gamma 90.00
loop_
_atom_site_label
_atom_site_type_symbol
_atom_site_fract_x
_atom_site_fract_y
_atom_site_fract_z
_atom_site_occupancy
Zr1 Zr 0.0000 0.0000 0.0000 1
Ti1 Ti 0.0000 0.5000 0.5000 1
Hg1 Hg 0.5000 0.5000 0.0000 1
B1 B 0.0000 0.0000 0.5000 1